This record from the Alexandria database describes crystalline SmMnTc2O8 at its relaxed geometry. The functional is PBE+U.

The structure belongs to space group P-3m1 (No. 164); the cell edges are 5.9594, 5.9594 and 6.3753 Å and the angles 90.00°, 90.00° and 120.00°. The asymmetric unit holds Sm at (0.0000, 0.0000, 0.0000), Mn at (0.0000, 0.0000, 0.5000), Tc at (0.3333, 0.6667, 0.3393), O at (0.1615, 0.3229, 0.2559) and O at (0.3333, 0.6667, 0.6119).

The value obtained for the calculated total energy is -0.5697 Ry per atom.